Below is an optimized crystal structure of CaSiOF2, with properties calculated at the PBE-GGA level.

## Properties
The calculation puts the energy at -5.249 eV/atom. As for the crystal system: tetragonal. For the calculated volume, the calculation gives 14.3 Å³/atom. For the uncorrected formation energy, the calculation gives -2.02 eV/atom. As for the energy above the most stable polymorph in this dataset: 0.000 eV per atom.

Cell and atoms, written as CIF:
```
data_CaSiOF2
_cell_length_a 4.387
_cell_length_b 4.387
_cell_length_c 3.718
_cell_angle_alpha 90.00
_cell_angle_beta 90.00
_cell_angle_gamma 90.00
_symmetry_space_group_name_H-M 'P 4/m m m'
_symmetry_Int_Tables_number 123
_symmetry_space_group_name_Hall '-P 4 2'
loop_
_atom_site_label
_atom_site_fract_x
_atom_site_fract_y
_atom_site_fract_z
Ca1 0.000 0.000 0.000
Si1 0.500 0.500 0.500
O1 0.500 0.500 0.000
F1 0.000 0.500 0.500
```

Below is an optimized crystal structure of CaSiO2F, with properties calculated at the PBE-GGA level.

## Properties
The calculation puts the energy at -4.818 eV/atom. As for the crystal system: tetragonal. For the calculated volume, the calculation gives 16.0 Å³/atom. For the uncorrected formation energy, the calculation gives -0.98 eV/atom.

Cell and atoms, written as CIF:
```
data_CaSiO2F
_cell_length_a 4.361
_cell_length_b 4.361
_cell_length_c 4.207
_cell_angle_alpha 90.00
_cell_angle_beta 90.00
_cell_angle_gamma 90.00
_symmetry_space_group_name_H-M 'P 4/m m m'
_symmetry_Int_Tables_number 123
_symmetry_space_group_name_Hall '-P 4 2'
loop_
_atom_site_label
_atom_site_fract_x
_atom_site_fract_y
_atom_site_fract_z
Ca1 0.000 0.000 0.000
Si1 0.500 0.500 0.500
O1 0.000 0.500 0.000
F1 0.000 0.000 0.500
```

Below is an optimized crystal structure of CaSiO2F, with properties calculated at the PBE-GGA level.

## Properties
The calculation puts the energy at -6.095 eV/atom. As for the crystal system: tetragonal. For the calculated volume, the calculation gives 11.8 Å³/atom. For the uncorrected formation energy, the calculation gives -2.25 eV/atom.

Cell and atoms, written as CIF:
```
data_CaSiO2F
_cell_length_a 3.771
_cell_length_b 3.771
_cell_length_c 4.140
_cell_angle_alpha 90.00
_cell_angle_beta 90.00
_cell_angle_gamma 90.00
_symmetry_space_group_name_H-M 'P 4/m m m'
_symmetry_Int_Tables_number 123
_symmetry_space_group_name_Hall '-P 4 2'
loop_
_atom_site_label
_atom_site_fract_x
_atom_site_fract_y
_atom_site_fract_z
Ca1 0.000 0.000 0.000
Si1 0.500 0.500 0.500
O1 0.000 0.500 0.500
F1 0.500 0.500 0.000
```

Below is an optimized crystal structure of CaSiOF2, with properties calculated at the PBE-GGA level.

## Properties
The calculation puts the energy at -4.915 eV/atom. As for the crystal system: tetragonal. For the calculated volume, the calculation gives 16.4 Å³/atom. For the uncorrected formation energy, the calculation gives -1.69 eV/atom. As for the energy above the most stable polymorph in this dataset: 0.334 eV per atom.

Cell and atoms, written as CIF:
```
data_CaSiOF2
_cell_length_a 4.196
_cell_length_b 4.196
_cell_length_c 4.649
_cell_angle_alpha 90.00
_cell_angle_beta 90.00
_cell_angle_gamma 90.00
_symmetry_space_group_name_H-M 'P 4/m m m'
_symmetry_Int_Tables_number 123
_symmetry_space_group_name_Hall '-P 4 2'
loop_
_atom_site_label
_atom_site_fract_x
_atom_site_fract_y
_atom_site_fract_z
Ca1 0.000 0.000 0.000
Si1 0.500 0.500 0.500
O1 0.000 0.000 0.500
F1 0.000 0.500 0.000
```

Below is an optimized crystal structure of CaSnOF2, with properties calculated at the PBE-GGA level.

## Properties
The calculation puts the energy at -5.207 eV/atom. As for the crystal system: tetragonal. For the calculated volume, the calculation gives 16.9 Å³/atom. For the uncorrected formation energy, the calculation gives -2.27 eV/atom. As for the energy above the most stable polymorph in this dataset: 0.000 eV per atom.

Cell and atoms, written as CIF:
```
data_CaSnOF2
_cell_length_a 4.253
_cell_length_b 4.253
_cell_length_c 4.670
_cell_angle_alpha 90.00
_cell_angle_beta 90.00
_cell_angle_gamma 90.00
_symmetry_space_group_name_H-M 'P 4/m m m'
_symmetry_Int_Tables_number 123
_symmetry_space_group_name_Hall '-P 4 2'
loop_
_atom_site_label
_atom_site_fract_x
_atom_site_fract_y
_atom_site_fract_z
Ca1 0.000 0.000 0.000
Sn1 0.500 0.500 0.500
O1 0.000 0.000 0.500
F1 0.000 0.500 0.000
```

Below is an optimized crystal structure of CaSnOF2, with properties calculated at the PBE-GGA level.

## Properties
The calculation puts the energy at -4.887 eV/atom. As for the crystal system: tetragonal. For the calculated volume, the calculation gives 18.5 Å³/atom. For the uncorrected formation energy, the calculation gives -1.95 eV/atom. As for the energy above the most stable polymorph in this dataset: 0.319 eV per atom.

Cell and atoms, written as CIF:
```
data_CaSnOF2
_cell_length_a 4.556
_cell_length_b 4.556
_cell_length_c 4.457
_cell_angle_alpha 90.00
_cell_angle_beta 90.00
_cell_angle_gamma 90.00
_symmetry_space_group_name_H-M 'P 4/m m m'
_symmetry_Int_Tables_number 123
_symmetry_space_group_name_Hall '-P 4 2'
loop_
_atom_site_label
_atom_site_fract_x
_atom_site_fract_y
_atom_site_fract_z
Ca1 0.000 0.000 0.000
Sn1 0.500 0.500 0.500
O1 0.500 0.500 0.000
F1 0.000 0.500 0.500
```